RbHfAs3: optimized geometry, PBE.

The structure in POSCAR format:
```
RbHfAs3
1.0
5.254 0.000 0.000
0.000 5.254 0.000
0.000 0.000 5.254
As Hf Rb
3 1 1
Cartesian
0.000 2.627 0.000 As
0.000 0.000 2.627 As
2.627 0.000 0.000 As
2.627 2.627 2.627 Hf
0.000 0.000 0.000 Rb
```

Output
- SG = Pm-3m, No. 221
- density of states at the Fermi level (states/eV per cell) = 1.39
- relative energy among the computed polymorphs (meV/atom) = 2058.5

***

La5PrTl2In: optimized geometry, PBE.

The structure in POSCAR format:
```
La5PrTl2In
1.0
-2.731 4.107 7.515
-8.517 -2.127 -1.932
6.347 -7.210 0.871
La Pr Tl In
10 2 4 2
Cartesian
-4.557 0.919 6.461 La
1.387 -2.827 5.293 La
-0.344 -6.149 -0.007 La
3.632 -4.661 1.735 La
-2.589 -4.315 3.550 La
-8.534 -0.569 4.718 La
-2.312 -0.914 2.903 La
-6.288 -2.403 1.160 La
-5.624 0.990 2.791 La
0.000 0.000 0.000 La
-3.897 -4.174 0.865 Pr
-1.004 -1.056 5.588 Pr
-3.602 -0.356 0.106 Tl
-2.643 2.278 4.391 Tl
-8.605 -0.299 1.191 Tl
-7.647 2.336 5.476 Tl
0.361 -3.110 1.831 In
-5.263 -2.120 4.622 In
```

Output
- SG = I4/mcm, No. 140
- density of states at the Fermi level (states/eV per cell) = 18.95

***

YTlOsO6: optimized geometry, PBE.

The structure in POSCAR format:
```
YTlOsO6
1.0
-3.918 1.818 3.658
-5.452 0.116 -1.517
-0.632 -5.145 1.880
Y Tl Os O
1 1 1 6
Cartesian
-6.563 -1.283 2.367 Y
-9.370 1.934 2.141 Tl
-3.439 -1.928 1.654 Os
-2.360 -1.425 0.193 O
-2.127 -2.925 2.567 O
-4.727 -2.478 2.914 O
-3.840 -3.434 0.595 O
-4.823 -0.826 1.003 O
-2.760 -0.478 2.648 O
```

Output
- SG = P312, No. 149
- uncorrected formation energy (eV per atom) = -1.565
- density of states at the Fermi level (states/eV per cell) = 0.28

***

LiCaAl2: optimized geometry, PBE.

The structure in POSCAR format:
```
LiCaAl2
1.0
-0.495 -2.884 -1.824
-0.519 -1.758 2.921
-7.135 1.467 -0.385
Al Ca Li
2 1 1
Cartesian
-0.014 0.003 -0.001 Al
-1.925 -2.030 0.472 Al
-3.486 0.717 -0.188 Ca
-6.291 -1.132 0.236 Li
```

Output
- SG = P4mm, No. 99
- density of states at the Fermi level (states/eV per cell) = 2.32
- relative energy among the computed polymorphs (meV/atom) = 108.0

***

Tb3Pa5N12: optimized geometry, PBE.

The structure in POSCAR format:
```
Tb3Pa5N12
1.0
12.034 0.000 0.000
-4.011 11.346 0.000
-4.011 -5.673 9.826
Tb Pa N
12 20 48
Cartesian
7.020 3.546 1.228 Tb
7.020 7.800 1.228 Tb
-1.003 4.964 6.141 Tb
1.003 -0.709 3.685 Tb
9.026 0.000 2.456 Tb
1.003 5.673 2.456 Tb
3.009 0.000 7.369 Tb
-5.014 5.673 7.369 Tb
3.009 6.382 6.141 Tb
5.014 0.709 3.685 Tb
-3.009 -2.127 8.598 Tb
-3.009 2.127 8.598 Tb
-1.003 2.836 2.456 Pa
-2.006 5.673 0.000 Pa
0.000 0.000 0.000 Pa
3.009 2.127 1.228 Pa
4.011 -2.836 4.913 Pa
4.011 5.673 0.000 Pa
-3.009 6.382 3.685 Pa
5.014 -3.546 8.598 Pa
5.014 4.964 3.685 Pa
1.003 -2.836 7.369 Pa
3.009 8.509 2.456 Pa
2.006 2.836 4.913 Pa
6.017 0.000 0.000 Pa
-2.006 -2.836 4.913 Pa
-1.003 0.709 6.141 Pa
-1.003 9.218 1.228 Pa
-4.011 2.836 4.913 Pa
7.020 -0.709 6.141 Pa
1.003 3.546 8.598 Pa
5.014 2.836 7.369 Pa
7.787 1.375 0.314 N
0.236 3.796 3.879 N
9.005 2.434 2.913 N
5.035 1.530 1.348 N
1.299 4.172 6.598 N
8.533 5.894 1.685 N
-0.982 6.577 4.262 N
-3.030 9.816 1.348 N
0.707 7.174 6.598 N
5.506 5.452 1.685 N
6.253 3.252 3.565 N
6.253 9.970 0.314 N
-3.305 4.964 5.227 N
2.516 4.103 0.651 N
-4.247 8.094 3.565 N
2.241 -1.877 5.947 N
-0.707 0.792 1.999 N
2.516 7.022 1.034 N
5.035 8.912 2.913 N
-0.511 4.324 1.034 N
-2.712 6.464 7.826 N
2.988 4.769 4.262 N
5.310 6.382 5.227 N
4.522 -1.570 9.175 N
1.024 0.904 5.564 N
-1.299 -0.709 4.599 N
-0.511 7.243 0.651 N
-1.024 -3.239 6.912 N
6.724 -0.792 1.999 N
4.522 1.349 8.792 N
1.495 -1.349 8.792 N
1.770 7.550 3.879 N
4.718 4.881 7.826 N
8.258 -2.421 6.261 N
7.316 0.709 4.599 N
-2.241 -4.297 9.512 N
1.495 1.570 9.175 N
3.305 -1.501 3.228 N
-1.495 0.221 8.141 N
-2.241 2.421 6.261 N
7.041 -4.143 8.477 N
4.993 -0.904 5.564 N
-1.024 4.143 8.477 N
-4.522 -0.221 8.141 N
2.712 1.501 3.228 N
-4.993 3.239 6.912 N
3.776 1.877 5.947 N
-3.776 4.297 9.512 N
```

Output
- SG = Ia-3d, No. 230
- uncorrected formation energy (eV per atom) = -1.263
- density of states at the Fermi level (states/eV per cell) = 42.19

***

RbAgBiTe3: optimized geometry, PBE.

The structure in POSCAR format:
```
RbAgBiTe3
1.0
-4.137 -0.119 1.733
-3.045 -5.983 -7.681
3.547 -5.920 8.063
Rb Ag Bi Te
2 2 2 6
Cartesian
-0.801 -2.741 0.803 Rb
-2.834 -9.281 1.311 Rb
0.833 -3.938 4.622 Ag
-4.467 -8.084 -2.508 Ag
-2.616 -4.855 -3.675 Bi
-1.019 -7.167 5.790 Bi
-5.342 -6.200 -4.467 Te
1.707 -5.822 6.582 Te
-1.778 -7.399 -1.849 Te
-1.857 -4.623 3.964 Te
-3.931 -3.922 -0.941 Te
0.296 -8.100 3.056 Te
```

Output
- SG = P2_1/m, No. 11
- uncorrected formation energy (eV per atom) = -0.376
- density of states at the Fermi level (states/eV per cell) = 11.98

***

ScTiTl2I: optimized geometry, PBE.

The structure in POSCAR format:
```
ScTiTl2I
1.0
-2.345 5.397 1.399
-3.898 -2.384 2.665
3.349 0.151 5.035
I Sc Tl Ti
1 1 2 1
Cartesian
0.000 0.000 0.000 I
-1.949 -1.192 1.332 Sc
1.675 0.075 2.517 Tl
-1.173 2.699 0.699 Tl
-1.447 1.582 4.549 Ti
```

Output
- SG = P4/mmm, No. 123
- uncorrected formation energy (eV per atom) = 1.033
- density of states at the Fermi level (states/eV per cell) = 7.91

***

HfNiRu2C: optimized geometry, PBE.

The structure in POSCAR format:
```
HfNiRu2C
1.0
-2.324 -3.367 -0.410
2.142 -1.843 2.987
-2.461 1.380 2.617
Ru C Hf Ni
2 1 1 1
Cartesian
1.071 -0.921 1.493 Ru
-1.162 -1.683 -0.205 Ru
0.000 0.000 0.000 C
-1.322 -1.914 2.597 Hf
-1.231 0.690 1.308 Ni
```

Output
- SG = P4/mmm, No. 123
- density of states at the Fermi level (states/eV per cell) = 2.75

***

Pr4GaSiN: optimized geometry, PBE.

The structure in POSCAR format:
```
Pr4GaSiN
1.0
6.897 0.000 0.000
0.000 6.899 0.000
-3.448 0.000 7.922
Pr Ga Si N
8 2 2 2
Cartesian
3.448 1.725 6.710 Pr
0.000 5.174 6.658 Pr
0.000 5.174 1.212 Pr
3.448 1.725 1.264 Pr
1.724 3.449 3.961 Pr
-1.724 0.000 3.961 Pr
1.724 0.000 3.961 Pr
-1.724 3.449 3.961 Pr
3.448 5.174 1.828 Ga
0.000 1.725 6.094 Ga
0.000 1.725 1.815 Si
3.448 5.174 6.107 Si
0.000 5.174 4.074 N
3.448 1.725 3.848 N
```

Output
- SG = Cmcm, No. 63
- uncorrected formation energy (eV per atom) = -0.662
- density of states at the Fermi level (states/eV per cell) = 6.39

***

Cu5Hg: optimized geometry, PBE.

The structure in POSCAR format:
```
Cu5Hg
1.0
-3.094 -3.295 -0.876
0.354 -4.375 -1.389
-0.267 -3.044 4.612
Cu Hg
5 1
Cartesian
-2.672 -7.555 -2.051 Cu
-1.944 -7.099 1.883 Cu
-0.948 -3.598 1.205 Cu
-1.091 -5.051 3.303 Cu
-2.797 -9.147 0.465 Cu
-1.810 -5.577 -0.422 Hg
```

Output
- SG = C2/m, No. 12
- density of states at the Fermi level (states/eV per cell) = 2.05

***

TiCO4: optimized geometry, PBE.

The structure in POSCAR format:
```
TiCO4
1.0
4.489 -0.049 0.000
-1.730 4.142 0.000
0.000 0.000 6.262
Ti C O
2 2 8
Cartesian
0.000 0.000 0.000 Ti
0.000 0.000 3.131 Ti
0.404 2.704 4.696 C
2.355 1.389 1.565 C
2.975 0.972 0.442 O
-0.216 3.122 3.573 O
-0.216 3.122 5.819 O
2.975 0.972 2.689 O
0.979 0.917 1.565 O
1.780 3.177 4.696 O
0.482 1.252 4.696 O
2.277 2.842 1.565 O
```

Output
- SG = Cmcm, No. 63
- uncorrected formation energy (eV per atom) = -1.891

***

SrLa8Co2: optimized geometry, PBE.

The structure in POSCAR format:
```
SrLa8Co2
1.0
-5.776 2.349 -2.180
-1.923 -6.690 -2.113
-2.653 2.268 7.758
Sr La Co
1 8 2
Cartesian
0.000 0.000 0.000 Sr
-5.788 -4.006 -1.079 La
-5.563 -1.545 3.447 La
-8.123 -1.836 0.682 La
-2.229 -0.238 2.784 La
-4.789 -0.529 0.019 La
-4.564 1.932 4.545 La
-2.549 -3.102 -0.381 La
-7.803 1.028 3.847 La
-4.557 -3.057 1.304 Co
-5.796 0.983 2.161 Co
```

Output
- SG = C2/m, No. 12
- density of states at the Fermi level (states/eV per cell) = 12.56

***

no.,total DFT energy (no corrections) (eV per atom)
1,-3.1877
2,-4.2588
3,-7.0993
4,-2.9012
5,-9.3272
6,-3.2297
7,-3.0689
8,-9.0065
9,-5.7900
10,-3.3694
11,-8.0496
12,-5.0355